[1]
Computed, not measured: a relaxed structure of Ac2SeO2 at the PBE level of DFT.

a = 8.1675 Å, b = 10.5137 Å, c = 11.0742 Å
α = 90.00°, β = 90.00°, γ = 90.00°
Last column: nearest neighbours and their distance in Å.
Space group Fddd (No. 70, origin choice 2)
Inequivalent atoms, fractional coordinates:
Ac  0.1250  0.3209  0.1250  4 O 2.49-2.53
Se  0.1250  0.1250  0.6250  6 Ac 3.20-3.49, 4 O 3.57
O  0.1250  0.1250  0.2578  4 Ac 2.49-2.53

## Properties
* calculated volume: 23.77 A^3/atom
* energy relative to the lowest polymorph listed for this composition: 10 meV/atom
* E_form (uncorrected): -2.99 eV/atom
* uncorrected energy: -7.3148 eV per atom



[2]
Computed, not measured: a relaxed structure of NiIrSe2 at the PBE level of DFT.

a = 2.9315 Å, b = 4.5457 Å, c = 9.4943 Å
α = 90.00°, β = 90.00°, γ = 90.00°
Last column: nearest neighbours and their distance in Å.
Space group Imm2 (No. 44)
Inequivalent atoms, fractional coordinates:
Ni  0.0000  0.0000  0.0000  6 Se 2.61-2.71, 2 Ir 2.78
Ir  0.0000  0.5000  0.2511  6 Se 2.61-2.71, 2 Ni 2.78
Se  0.0000  0.0000  0.5238  2 Ir 2.61, 4 Ni 2.71
Se  0.0000  0.5000  0.7271  2 Ni 2.61, 4 Ir 2.71

## Properties
* calculated volume: 15.81 A^3/atom
* E_form (uncorrected): 0.36 eV/atom
* uncorrected energy: -5.0440 eV per atom



[3]
Computed, not measured: a relaxed structure of Zr2AgPb at the PBE level of DFT.

a = 3.4182 Å, b = 4.1476 Å, c = 6.4097 Å
α = 90.00°, β = 90.00°, γ = 90.00°
Last column: nearest neighbours and their distance in Å.
Space group Pmm2 (No. 25)
Inequivalent atoms, fractional coordinates:
Zr  0.0000  0.0000  0.0000  2 Ag 3.09-3.32, 6 Zr 3.14-3.42, 4 Pb 3.15
Zr  0.5000  0.5000  0.2538  4 Ag 3.06, 2 Pb 3.13-3.28, 6 Zr 3.14-3.42
Ag  0.0000  0.0000  0.4823  6 Zr 3.06-3.32, 4 Pb 3.16, 2 Ag 3.42
Pb  0.5000  0.5000  0.7423  6 Zr 3.13-3.28, 4 Ag 3.16, 2 Pb 3.42

## Properties
* calculated volume: 22.72 A^3/atom
* energy of formation from the pure elements: -0.03 eV/atom
* uncorrected energy: -5.9468 eV per atom



[4]
Computed, not measured: a relaxed structure of Cs6Au5F at the PBE level of DFT.

a = 10.5082 Å, b = 17.8757 Å, c = 6.1089 Å
α = 90.00°, β = 124.95°, γ = 90.00°
Last column: nearest neighbours and their distance in Å.
Space group C2/m (No. 12)
Inequivalent atoms, fractional coordinates:
Cs  0.2329  0.0000  0.2424  2 F 3.59-3.72, 6 Au 3.73-3.85, 1 Cs 4.01
Cs  0.2352  0.1566  0.7371  1 F 3.46, 7 Au 3.61-3.82
Au  0.0000  0.1771  0.0000  8 Cs 3.66-3.75
Au  0.0000  0.3358  0.5000  8 Cs 3.73-3.82, 2 Au 4.17
Au  0.0000  0.5000  0.0000  8 Cs 3.61-3.85
F  0.0000  0.0000  0.5000  8 Cs 3.46-3.72

## Properties
* calculated volume: 39.19 A^3/atom
* E_form (uncorrected): -0.66 eV/atom
* uncorrected energy: -2.6052 eV per atom



[5]
Computed, not measured: a relaxed structure of LaCeCI at the PBE level of DFT.

a = 3.8696 Å, b = 3.8696 Å, c = 23.7304 Å
α = 90.00°, β = 90.00°, γ = 120.00°
Last column: nearest neighbours and their distance in Å.
Space group R3m (No. 160, hexagonal axes)
Inequivalent atoms, fractional coordinates:
La  0.0000  0.0000  0.0000  3 C 2.71
Ce  0.0000  0.0000  0.7827  3 C 2.55
C  0.0000  0.0000  0.3979  3 Ce 2.55, 3 La 2.71
I  0.0000  0.0000  0.2223  3 Ce 3.37, 3 La 3.45

## Properties
* calculated volume: 25.64 A^3/atom
* E_form (uncorrected): -0.67 eV/atom
* uncorrected energy: -6.0758 eV per atom



[6]
Computed, not measured: a relaxed structure of CsPbF4 at the PBE level of DFT.

a = 4.5049 Å, b = 4.5048 Å, c = 7.1552 Å
α = 90.00°, β = 90.06°, γ = 90.00°
Last column: nearest neighbours and their distance in Å.
Space group P2/m (No. 10)
Inequivalent atoms, fractional coordinates:
Cs  0.0000  0.0000  0.0000  8 F 3.46-3.47
Pb  0.5000  0.5000  0.5000  6 F 2.22-2.25
F  0.0000  0.5000  0.5000  2 Pb 2.25
F  0.4994  0.5000  0.1902  1 Pb 2.22
F  0.5000  0.0000  0.5000  2 Pb 2.25

## Properties
* calculated volume: 24.20 A^3/atom
* energy relative to the lowest polymorph listed for this composition: 49 meV/atom
* E_form (uncorrected): -2.33 eV/atom
* uncorrected energy: -4.3369 eV per atom